[1]
The following is a PBE-GGA calculation of a relaxed Tm5MgPb3 crystal, from the Alexandria database.

Output
Theoretical density   10.2 g/cm3
Density of states at the Fermi level   7.8 states/eV/f.u.
Symmetry   No. 193
Energy   -76.947 eV per cell

POSCAR file:
```
Tm5MgPb3
1.0
9.267 0.000 0.000
-4.634 8.026 0.000
0.000 0.000 6.524
Tm Mg Pb
10 2 6
Cartesian
-1.330 2.304 1.631
-3.304 5.722 4.893
2.660 0.000 1.631
1.330 2.304 4.893
0.000 5.351 0.000
0.000 5.351 3.262
4.634 2.675 0.000
4.634 2.675 3.262
6.607 0.000 4.893
3.304 5.722 1.631
0.000 0.000 0.000
0.000 0.000 3.262
-1.718 2.976 4.893
-2.915 5.050 1.631
3.437 0.000 4.893
1.718 2.976 1.631
5.831 0.000 1.631
2.915 5.050 4.893
```

---

[2]
The following is a PBE-GGA calculation of a relaxed Rb2Li2Ca crystal, from the Alexandria database.

Output
Theoretical density   1.5 g/cm3
Density of states at the Fermi level   3.5 states/eV/f.u.
Energy above the most stable polymorph in this dataset   162 meV per atom
Symmetry   No. 139
Energy   -5.775 eV per cell

POSCAR file:
```
Rb2Li2Ca
1.0
-3.186 3.186 6.239
3.186 -3.186 6.239
3.186 3.186 -6.239
Rb Li Ca
2 2 1
Cartesian
0.000 0.000 1.743
0.000 0.000 10.736
3.186 0.000 3.120
0.000 3.186 3.120
0.000 0.000 6.239
```

---

[3]
The following is a PBE-GGA calculation of a relaxed LiNbRu2 crystal, from the Alexandria database.

Output
Theoretical density   8.7 g/cm3
Density of states at the Fermi level   3.5 states/eV/f.u.
Symmetry   No. 123
Energy   -30.794 eV per cell

POSCAR file:
```
LiNbRu2
1.0
3.149 0.000 0.000
0.000 3.149 0.000
0.000 0.000 5.790
Li Nb Ru
1 1 2
Cartesian
0.000 0.000 0.000
0.000 0.000 2.895
1.574 1.574 1.358
1.574 1.574 4.432
```

---

[4]
The following is a PBE-GGA calculation of a relaxed ZrNbRhW crystal, from the Alexandria database.

Output
Theoretical density   11.2 g/cm3
Density of states at the Fermi level   1.1 states/eV/f.u.
Symmetry   No. 216
Energy   -39.921 eV per cell

POSCAR file:
```
ZrNbRhW
1.0
0.000 3.268 3.268
3.268 0.000 3.268
3.268 3.268 0.000
Zr Nb Rh W
1 1 1 1
Cartesian
0.000 0.000 0.000
3.268 3.268 3.268
1.634 1.634 1.634
4.902 4.902 4.902
```

---

[5]
The following is a PBE-GGA calculation of a relaxed Li2SbAu2 crystal, from the Alexandria database.

Output
Theoretical density   8.6 g/cm3
Density of states at the Fermi level   2.5 states/eV/f.u.
Energy above the most stable polymorph in this dataset   94 meV per atom
Symmetry   No. 12
Energy relative to the elements, uncorrected   -1.76 eV/f.u.
Energy   -16.266 eV per cell

POSCAR file:
```
Li2SbAu2
1.0
3.995 -2.310 0.000
3.995 2.310 0.000
-0.034 0.000 5.572
Li Sb Au
2 1 2
Cartesian
1.322 0.000 0.927
6.633 0.000 4.645
3.978 0.000 2.786
1.311 0.000 3.847
6.644 0.000 1.725
```

---

[6]
The following is a PBE-GGA calculation of a relaxed TbTmSi crystal, from the Alexandria database.

Output
Theoretical density   6.8 g/cm3
Density of states at the Fermi level   3.2 states/eV/f.u.
Energy above the most stable polymorph in this dataset   229 meV per atom
Symmetry   No. 70
Energy relative to the elements, uncorrected   -0.90 eV/f.u.
Energy   -61.711 eV per cell

POSCAR file:
```
TbTmSi
1.0
0.000 5.738 6.685
4.499 0.000 6.685
4.499 5.738 0.000
Tb Tm Si
4 4 4
Cartesian
3.374 4.304 0.083
5.624 7.173 3.425
3.374 4.304 9.945
5.624 7.173 13.287
4.499 2.869 3.343
2.250 5.738 3.343
2.250 2.869 6.685
4.499 5.738 6.685
3.374 0.880 5.014
5.624 3.750 8.356
3.374 7.727 5.014
5.624 10.596 8.356
```